[1]
Entry from the Open Quantum Materials Database: an optimized crystal structure of AcHg2O4 (GGA-PBE).

Computed properties:
Total magnetic moment   1.00 μB per formula unit

```
AcHg2O4
1.0
4.960 -4.958 0.000
-4.960 0.000 -4.958
4.960 4.958 0.000
O Ac Hg
8 2 4
Cartesian
1.127 -1.125 -3.833
3.833 -1.125 -1.125
3.607 3.604 -1.354
1.353 3.604 -3.604
3.607 1.354 -3.604
1.353 1.354 -1.354
-1.127 1.125 -3.833
6.087 1.125 -1.125
0.000 0.000 0.000
2.480 -2.479 -2.479
1.240 1.240 -3.719
-1.240 -1.240 -3.719
3.720 1.240 -1.240
6.200 -1.240 -1.240
```

***

[2]
Entry from the Open Quantum Materials Database: an optimized crystal structure of NaNiGeB (GGA-PBE).

Computed properties:
Energy relative to the lowest polymorph listed for this composition   0.000 eV per atom
Total magnetic moment   0.00 μB per formula unit

```
NaNiGeB
1.0
-2.023 -3.451 -1.120
-3.104 0.212 -2.753
0.501 -1.555 -3.819
Ni Ge B Na
1 1 1 1
Cartesian
-1.156 -1.198 -1.923
0.000 0.000 0.000
-2.313 -2.397 -3.846
-3.469 -3.595 -5.769
```

***

[3]
Entry from the Open Quantum Materials Database: an optimized crystal structure of TeMoPb2 (GGA-PBE).

Computed properties:
Total magnetic moment   2.19 μB per formula unit

```
TeMoPb2
1.0
0.000 3.650 3.650
3.650 0.000 3.650
3.650 3.650 0.000
Pb Te Mo
2 1 1
Cartesian
0.000 0.000 0.000
1.825 1.825 1.825
5.475 5.475 5.475
3.650 3.650 3.650
```

***

[4]
Entry from the Open Quantum Materials Database: an optimized crystal structure of Zr3Ge (GGA-PBE).

Computed properties:
Total magnetic moment   0.03 μB per formula unit

```
Zr3Ge
1.0
-9.478 5.803 -0.049
-5.041 -8.187 5.574
1.418 2.356 4.742
Zr Ge
24 8
Cartesian
-2.778 3.888 5.019
-10.221 -1.404 6.869
-10.650 1.679 5.734
-5.584 -2.227 9.059
-5.674 -1.566 4.244
0.145 0.847 4.474
-7.198 -0.483 6.958
-5.918 -6.635 6.463
-2.355 -1.547 4.857
-12.454 0.440 8.442
-7.976 5.291 1.154
-4.591 -3.619 6.390
-8.053 0.498 3.930
-2.904 1.337 3.320
-10.849 -0.994 3.789
-9.002 -1.722 9.666
-3.786 -4.405 3.536
-5.392 3.607 2.772
-3.647 -1.351 1.814
-5.278 1.494 5.402
-8.487 3.629 3.955
-6.124 4.515 5.872
-7.806 -3.796 7.171
-10.637 2.182 2.312
-12.691 -0.274 5.747
-8.379 -2.124 4.911
-6.737 5.959 3.574
-4.414 -0.863 6.733
-5.535 0.745 2.636
-5.760 -4.982 8.716
-7.874 2.186 6.253
-1.016 -0.759 2.497
```

***

[5]
Entry from the Open Quantum Materials Database: an optimized crystal structure of AcZr (GGA-PBE).

Computed properties:
Energy relative to the lowest polymorph listed for this composition   0.139 eV per atom
Total magnetic moment   0.01 μB per formula unit
Energy of formation   278 meV per atom

```
AcZr
1.0
5.958 0.001 0.000
0.002 11.689 0.000
0.000 0.000 5.564
Zr Ac
6 6
Cartesian
0.064 11.364 0.000
2.916 5.666 0.000
3.042 10.067 0.000
4.858 10.136 2.782
1.879 11.295 2.782
5.895 4.076 0.000
5.724 7.974 0.000
2.023 4.028 2.782
2.296 7.963 2.782
5.003 5.713 2.782
2.744 1.769 0.000
5.274 1.780 2.782
```

***

[6]
Entry from the Open Quantum Materials Database: an optimized crystal structure of DyHoPbC (GGA-PBE).

Computed properties:
Total magnetic moment   0.00 μB per formula unit

```
DyHoPbC
1.0
-0.492 3.584 -0.289
-1.102 -1.748 2.984
14.373 2.522 6.784
C Ho Dy Pb
2 2 2 2
Cartesian
7.186 1.261 3.392
0.000 0.000 0.000
12.493 4.121 7.027
0.285 0.237 2.452
5.101 1.082 4.725
7.678 3.276 4.754
2.897 2.437 2.497
9.882 1.921 6.981
```

***

Results for VASP energy: -4.600 -3.860 -4.640 -8.114 -6.048 -6.028 (in eV/atom, following the order of the records).